# 1
ZrAlMo2: relaxed, GGA-PBEsol. Values from VASP.

```
&SYSTEM
  ibrav = 0, nat = 4, ntyp = 3
/
ATOMIC_SPECIES
Mo 95.94 Mo.upf
Al 26.98 Al.upf
Zr 91.22 Zr.upf
ATOMIC_POSITIONS crystal
Mo 0.0000 0.5000 0.0000
Mo 0.5000 0.0000 0.0000
Al 0.0000 0.0000 0.5000
Zr 0.5000 0.5000 0.5000
CELL_PARAMETERS angstrom
3.8939 0.0000 0.0000
0.0000 3.8939 0.0000
0.0000 0.0000 4.3749
```

- VASP energy: -9.23 eV per atom
- Total moment: 0.0 μB per formula unit

---

# 2
Zr2AlMo: relaxed, GGA-PBEsol. Values from VASP.

```
&SYSTEM
  ibrav = 0, nat = 4, ntyp = 3
/
ATOMIC_SPECIES
Mo 95.94 Mo.upf
Al 26.98 Al.upf
Zr 91.22 Zr.upf
ATOMIC_POSITIONS crystal
Mo 0.5000 0.0000 0.0000
Al 0.5000 0.5000 0.5000
Zr 0.0000 0.0000 0.5000
Zr 0.0000 0.5000 0.0000
CELL_PARAMETERS angstrom
-2.8899 0.8593 1.8961
-0.9814 -4.4035 0.4998
2.4649 -0.1169 3.8098
```

- VASP energy: -8.76 eV per atom
- Total moment: 0.0 μB per formula unit

---

# 3
ZrAl3Mo: relaxed, GGA-PBEsol. Values from VASP.

```
&SYSTEM
  ibrav = 0, nat = 5, ntyp = 3
/
ATOMIC_SPECIES
Mo 95.94 Mo.upf
Al 26.98 Al.upf
Zr 91.22 Zr.upf
ATOMIC_POSITIONS crystal
Mo 0.5000 0.5000 0.5000
Al 0.0000 0.5000 0.0000
Al 0.0000 0.0000 0.5000
Al 0.5000 0.0000 0.0000
Zr 0.0000 0.0000 0.0000
CELL_PARAMETERS angstrom
4.9240 0.0000 0.0000
0.0000 4.9240 0.0000
0.0000 0.0000 4.9240
```

- VASP energy: -5.01 eV per atom
- Total moment: 2.8 μB per formula unit

---

# 4
NaAl2ZnN: relaxed, GGA-PBEsol. Values from VASP.

```
&SYSTEM
  ibrav = 0, nat = 5, ntyp = 4
/
ATOMIC_SPECIES
Na 22.99 Na.upf
Zn 65.41 Zn.upf
Al 26.98 Al.upf
N 14.01 N.upf
ATOMIC_POSITIONS crystal
Na 0.0000 0.0000 0.5000
Zn 0.5000 0.5000 0.5000
Al 0.0000 0.5000 0.0000
Al 0.5000 0.0000 0.0000
N 0.0000 0.0000 0.0000
CELL_PARAMETERS angstrom
3.9400 0.0000 0.0000
0.0000 3.9400 0.0000
0.0000 0.0000 4.6125
```

- VASP energy: -3.95 eV per atom
- Total moment: 0.0 μB per formula unit
- Formation energy from raw total energies: -14 meV/atom

---

# 5
NbAlS2N: relaxed, GGA-PBEsol. Values from VASP.

```
&SYSTEM
  ibrav = 0, nat = 5, ntyp = 4
/
ATOMIC_SPECIES
Nb 92.91 Nb.upf
N 14.01 N.upf
S 32.06 S.upf
Al 26.98 Al.upf
ATOMIC_POSITIONS crystal
Nb 0.0000 0.0000 0.0000
N 0.5000 0.0000 0.0000
S 0.0000 0.0000 0.5000
S 0.0000 0.5000 0.0000
Al 0.5000 0.5000 0.5000
CELL_PARAMETERS angstrom
-3.7467 -0.7242 -0.6126
-0.7374 -0.2690 4.8282
-0.9473 4.7974 0.1226
```

- VASP energy: -6.53 eV per atom
- Total moment: 0.0 μB per formula unit
- Formation energy from raw total energies: -92 meV/atom

---

# 6
NbAlTeN2: relaxed, GGA-PBEsol. Values from VASP.

```
&SYSTEM
  ibrav = 0, nat = 5, ntyp = 4
/
ATOMIC_SPECIES
Nb 92.91 Nb.upf
Te 127.60 Te.upf
Al 26.98 Al.upf
N 14.01 N.upf
ATOMIC_POSITIONS crystal
Nb 0.5000 0.5000 0.5000
Te 0.0000 0.0000 0.5000
Al 0.0000 0.0000 0.0000
N 0.0000 0.5000 0.0000
N 0.5000 0.0000 0.0000
CELL_PARAMETERS angstrom
-2.7399 1.7182 -2.0689
1.4110 -1.5958 -3.1940
-3.1690 -4.2077 0.7023
```

- VASP energy: -6.24 eV per atom
- Total moment: 0.1 μB per formula unit
- Formation energy from raw total energies: 859 meV/atom

---

# 7
Nd2AlNO3: relaxed, GGA-PBEsol. Values from VASP.

```
&SYSTEM
  ibrav = 0, nat = 7, ntyp = 4
/
ATOMIC_SPECIES
Nd 144.24 Nd.upf
Al 26.98 Al.upf
O 16.00 O.upf
N 14.01 N.upf
ATOMIC_POSITIONS crystal
Nd 0.3621 0.3621 0.7240
Nd 0.6502 0.6502 0.3002
Al 0.0121 0.0121 0.0241
O 0.8402 0.8402 0.6803
O 0.9998 0.4999 0.9996
O 0.4999 0.9998 0.9996
N 0.1735 0.1735 0.3468
CELL_PARAMETERS angstrom
3.6952 0.0000 0.0000
0.0000 3.6952 0.0000
-1.8476 -1.8476 6.2224
```

- VASP energy: -8.36 eV per atom
- Total moment: 0.0 μB per formula unit
- Formation energy from raw total energies: -2836 meV/atom

---

# 8
AlNiNO2: relaxed, GGA-PBEsol. Values from VASP.

```
&SYSTEM
  ibrav = 0, nat = 5, ntyp = 4
/
ATOMIC_SPECIES
Ni 58.69 Ni.upf
Al 26.98 Al.upf
O 16.00 O.upf
N 14.01 N.upf
ATOMIC_POSITIONS crystal
Ni 0.5000 0.5000 0.5000
Al 0.0000 0.0000 0.0000
O 0.0000 0.5000 0.0000
O 0.5000 0.0000 0.0000
N 0.0000 0.0000 0.5000
CELL_PARAMETERS angstrom
3.5767 0.0000 0.0000
0.0000 3.5767 0.0000
0.0000 0.0000 3.7482
```

- VASP energy: -6.15 eV per atom
- Total moment: 2.0 μB per formula unit
- Formation energy from raw total energies: -297 meV/atom

---

# 9
AlNiNO2: relaxed, GGA-PBEsol. Values from VASP.

```
&SYSTEM
  ibrav = 0, nat = 5, ntyp = 4
/
ATOMIC_SPECIES
Ni 58.69 Ni.upf
Al 26.98 Al.upf
O 16.00 O.upf
N 14.01 N.upf
ATOMIC_POSITIONS crystal
Ni 0.0000 0.0000 0.0000
Al 0.5000 0.5000 0.5000
O 0.0000 0.5000 0.0000
O 0.5000 0.0000 0.0000
N 0.0000 0.0000 0.5000
CELL_PARAMETERS angstrom
-1.1624 -3.2960 1.1671
3.0194 -0.3260 2.0865
-1.6890 1.5468 2.6859
```

- VASP energy: -5.91 eV per atom
- Total moment: 0.0 μB per formula unit
- Formation energy from raw total energies: -55 meV/atom

---

# 10
Al2NiPdN: relaxed, GGA-PBEsol. Values from VASP.

```
&SYSTEM
  ibrav = 0, nat = 5, ntyp = 4
/
ATOMIC_SPECIES
Ni 58.69 Ni.upf
Al 26.98 Al.upf
Pd 106.42 Pd.upf
N 14.01 N.upf
ATOMIC_POSITIONS crystal
Ni 0.0000 0.0000 0.5000
Al 0.0000 0.5000 0.0000
Al 0.5000 0.0000 0.0000
Pd 0.0000 0.0000 0.0000
N 0.5000 0.5000 0.5000
CELL_PARAMETERS angstrom
4.6129 0.0000 0.0000
0.0000 4.6129 0.0000
0.0000 0.0000 4.5579
```

- VASP energy: -4.41 eV per atom
- Total moment: 2.7 μB per formula unit
- Formation energy from raw total energies: 1354 meV/atom

---

# 11
AlNiSeN2: relaxed, GGA-PBEsol. Values from VASP.

```
&SYSTEM
  ibrav = 0, nat = 5, ntyp = 4
/
ATOMIC_SPECIES
Ni 58.69 Ni.upf
Al 26.98 Al.upf
Se 78.96 Se.upf
N 14.01 N.upf
ATOMIC_POSITIONS crystal
Ni 0.0000 0.0000 0.0000
Al 0.5000 0.5000 0.5000
Se 0.0000 0.0000 0.5000
N 0.0000 0.5000 0.0000
N 0.5000 0.0000 0.0000
CELL_PARAMETERS angstrom
-2.8332 -2.0893 1.0115
-0.4216 -1.1063 -3.4660
3.0944 -3.7924 0.8341
```

- VASP energy: -5.33 eV per atom
- Total moment: 2.6 μB per formula unit
- Formation energy from raw total energies: 903 meV/atom

---

# 12
SrAlNi2N: relaxed, GGA-PBEsol. Values from VASP.

```
&SYSTEM
  ibrav = 0, nat = 5, ntyp = 4
/
ATOMIC_SPECIES
Sr 87.62 Sr.upf
N 14.01 N.upf
Al 26.98 Al.upf
Ni 58.69 Ni.upf
ATOMIC_POSITIONS crystal
Sr 0.5000 0.5000 0.5000
N 0.0000 0.0000 0.0000
Al 0.5000 0.0000 0.0000
Ni 0.0000 0.0000 0.5000
Ni 0.0000 0.5000 0.0000
CELL_PARAMETERS angstrom
3.8055 0.0000 0.0000
0.0000 4.3429 0.0000
0.0000 0.0000 4.3429
```

- VASP energy: -5.19 eV per atom
- Total moment: 0.0 μB per formula unit
- Formation energy from raw total energies: 168 meV/atom